1.
CaLa2Y after structural relaxation. Source: Alexandria via LeMat-Bulk, functional PBEsol.

The structure in POSCAR format:
```
CaLa2Y
1.0
3.659 0.000 0.000
0.000 3.659 0.000
0.000 0.000 10.339
Ca La Y
1 2 1
Cartesian
0.000 0.000 0.000 Ca
0.000 0.000 5.296 La
1.830 1.830 2.875 La
1.830 1.830 7.670 Y
```

Computed properties:
N(E_F): 6.6 states/eV/f.u.
SG: P4mm (99)
Energy of formation from the pure elements: 59 meV per atom
Excess energy over the best structure of this formula in the dataset: 4 meV per atom

---

2.
CaLa2Y after structural relaxation. Source: Alexandria via LeMat-Bulk, functional PBEsol.

The structure in POSCAR format:
```
CaLa2Y
1.0
3.617 0.000 0.000
0.000 5.147 0.000
0.000 0.000 7.469
Ca La Y
1 2 1
Cartesian
0.000 0.000 0.000 Ca
1.809 2.573 2.041 La
1.809 2.573 5.428 La
0.000 0.000 3.735 Y
```

Computed properties:
N(E_F): 6.0 states/eV/f.u.
SG: Pmmm (47)
Energy of formation from the pure elements: 70 meV per atom
Excess energy over the best structure of this formula in the dataset: 15 meV per atom

---

3.
CaLa2Y after structural relaxation. Source: Alexandria via LeMat-Bulk, functional PBEsol.

The structure in POSCAR format:
```
CaLa2Y
1.0
0.000 4.119 4.119
4.119 0.000 4.119
4.119 4.119 0.000
Ca La Y
1 2 1
Cartesian
0.000 0.000 0.000 Ca
2.060 2.060 2.060 La
6.179 6.179 6.179 La
4.119 4.119 4.119 Y
```

Computed properties:
N(E_F): 6.1 states/eV/f.u.
SG: Fm-3m (225)
Energy of formation from the pure elements: 119 meV per atom
Excess energy over the best structure of this formula in the dataset: 63 meV per atom

---

4.
Ca2LaY after structural relaxation. Source: Alexandria via LeMat-Bulk, functional PBEsol.

The structure in POSCAR format:
```
Ca2LaY
1.0
3.630 0.000 0.000
0.000 5.255 0.000
0.000 0.000 7.510
Ca La Y
2 1 1
Cartesian
0.000 0.000 0.000 Ca
1.815 2.627 1.991 Ca
0.000 0.000 3.981 La
1.815 2.627 5.592 Y
```

Computed properties:
N(E_F): 6.6 states/eV/f.u.
SG: Pmm2 (25)
Energy of formation from the pure elements: 102 meV per atom
Excess energy over the best structure of this formula in the dataset: 53 meV per atom

---

5.
Ca2LaY after structural relaxation. Source: Alexandria via LeMat-Bulk, functional PBEsol.

The structure in POSCAR format:
```
Ca2LaY
1.0
1.966 -2.988 0.000
1.966 2.988 0.000
0.000 0.000 12.332
Ca La Y
2 1 1
Cartesian
0.000 0.000 0.000 Ca
1.966 0.000 3.259 Ca
1.966 0.000 9.083 La
0.000 0.000 6.284 Y
```

Computed properties:
N(E_F): 7.1 states/eV/f.u.
SG: Cmm2 (35)
Energy of formation from the pure elements: 103 meV per atom
Excess energy over the best structure of this formula in the dataset: 54 meV per atom

---

6.
CaLa2Y after structural relaxation. Source: Alexandria via LeMat-Bulk, functional PBEsol.

The structure in POSCAR format:
```
CaLa2Y
1.0
6.025 -1.806 0.000
6.025 1.806 0.000
-1.052 0.000 6.293
Ca La Y
1 2 1
Cartesian
0.000 0.000 0.000 Ca
2.198 0.000 4.632 La
8.800 0.000 1.662 La
5.499 0.000 3.147 Y
```

Computed properties:
N(E_F): 4.2 states/eV/f.u.
SG: C2/m (12)
Energy of formation from the pure elements: 55 meV per atom
Excess energy over the best structure of this formula in the dataset: 0 meV per atom

---

7.
CaLa2Y after structural relaxation. Source: Alexandria via LeMat-Bulk, functional PBEsol.

The structure in POSCAR format:
```
CaLa2Y
1.0
6.079 -1.818 0.000
6.079 1.818 0.000
-1.101 0.000 6.233
Ca La Y
1 2 1
Cartesian
0.000 0.000 0.000 Ca
2.167 0.000 4.525 La
5.529 0.000 3.120 La
8.866 0.000 1.570 Y
```

Computed properties:
N(E_F): 5.4 states/eV/f.u.
SG: Cm (8)
Energy of formation from the pure elements: 75 meV per atom
Excess energy over the best structure of this formula in the dataset: 20 meV per atom

---

8.
CaLa2Y2 after structural relaxation. Source: Alexandria via LeMat-Bulk, functional PBEsol.

The structure in POSCAR format:
```
CaLa2Y2
1.0
9.759 0.000 0.000
0.000 9.759 0.000
0.000 0.000 3.609
Ca La Y
2 4 4
Cartesian
0.000 0.000 0.000 Ca
4.879 4.879 0.000 Ca
1.725 3.154 1.804 La
3.154 8.033 1.804 La
6.605 1.725 1.804 La
8.033 6.605 1.804 La
1.183 6.062 0.000 Y
3.696 1.183 0.000 Y
6.062 8.576 0.000 Y
8.576 3.696 0.000 Y
```

Computed properties:
N(E_F): 5.3 states/eV/f.u.
SG: P4/mbm (127)
Energy of formation from the pure elements: 87 meV per atom